Entry 1:
Density functional theory data (GGA-PBE) for crystalline KUS3 at its relaxed geometry.

## Properties
Total DFT energy (no corrections): -0.46166 Ry per atom
ΔE_f (raw): -1.328 eV per atom

Unit cell a=5.193 b=5.193 c=5.193 alpha=90.00 beta=90.00 gamma=90.00
Fractional positions:
K: 0.000 0.000 0.000
U: 0.500 0.500 0.500
S: 0.000 0.500 0.500
S: 0.500 0.000 0.500
S: 0.500 0.500 0.000

***

Entry 2:
Density functional theory data (GGA-PBE) for crystalline Zr4Sb2H at its relaxed geometry.

## Properties
Total DFT energy (no corrections): -0.52380 Ry per atom

Unit cell a=6.707 b=5.905 c=7.491 alpha=90.00 beta=106.23 gamma=90.00
Fractional positions:
Zr: 0.009 0.003 0.253
Zr: 0.009 0.497 0.253
Zr: 0.377 0.250 0.096
Zr: 0.385 0.250 0.594
Zr: 0.615 0.750 0.406
Zr: 0.623 0.750 0.904
Zr: 0.991 0.503 0.747
Zr: 0.991 0.997 0.747
Sb: 0.273 0.750 0.572
Sb: 0.274 0.750 0.065
Sb: 0.726 0.250 0.935
Sb: 0.727 0.250 0.428
H: 0.224 0.250 0.805
H: 0.776 0.750 0.195

***

no.,total magnetization (μB/f.u.)
1,1.00
2,0.00